No. 1
## TaBi2Sb (GGA-PBE)

Data for a relaxed TaBi2Sb crystal.

Cell: 6.7444 6.7444 8.3595 Å, 66.21 66.21 90.00°
Closest atoms and distances in Å follow each position.
Fractional positions:
Sb: 0.5000 0.5000 0.0000  4 Bi 3.09
Sb: 0.2500 0.7500 0.5000  4 Bi 3.09
Ta: 0.0000 0.0000 0.0000  4 Bi 2.80
Ta: 0.7500 0.2500 0.5000  4 Bi 2.80
Bi: 0.8750 0.9116 0.7500  2 Ta 2.80, 2 Sb 3.09
Bi: 0.0884 0.6250 0.2500  2 Ta 2.80, 2 Sb 3.09
Bi: 0.3750 0.3384 0.7500  2 Ta 2.80, 2 Sb 3.09
Bi: 0.6616 0.1250 0.2500  2 Ta 2.80, 2 Sb 3.09


No. 2
## TaBi3Sb (GGA-PBE)

Data for a relaxed TaBi3Sb crystal.

Cell: 5.5030 5.5030 5.5030 Å, 90.00 90.00 90.00°
Closest atoms and distances in Å follow each position.
Fractional positions:
Sb: 0.5000 0.5000 0.5000  12 Bi 3.89
Ta: 0.0000 0.0000 0.0000  6 Bi 2.75
Bi: 0.0000 0.5000 0.0000  2 Ta 2.75
Bi: 0.5000 0.0000 0.0000  2 Ta 2.75
Bi: 0.0000 0.0000 0.5000  2 Ta 2.75


Looking at formation energy without anion corrections for the records above, in order, we have 0.898; 0.654 eV per atom.